Material: TeAsC2
Method: DFT, PBE
State: relaxed

Cell lengths 5.5318, 5.5318, 5.5886 Å; angles 60.34, 60.34, 90.00 degrees
Sites, in units of the cell vectors:
1 As 0.2500 0.7500 0.5000
2 As 0.5000 0.5000 0.0000
3 C 0.8750 0.8051 0.7500
4 C 0.3750 0.4449 0.7500
5 C 0.1949 0.6250 0.2500
6 C 0.5551 0.1250 0.2500
7 Te 0.7500 0.2500 0.5000
8 Te 0.0000 0.0000 0.0000

Summary:
As for the excess energy over the best structure of this formula in the dataset: 0 meV/atom. The space group is I-42d, No. 122.